Arrangement 1

# Tc3SbH (GGA-PBE, relaxed)
# Crystal system ... cubic
data_Tc3SbH
_chemical_formula_sum 'Tc3 Sb1 H1'
_cell_length_a 4.0485
_cell_length_b 4.0485
_cell_length_c 4.0485
_cell_angle_alpha 90.00
_cell_angle_beta 90.00
_cell_angle_gamma 90.00
_symmetry_space_group_name_H-M 'P m -3 m'
_symmetry_Int_Tables_number 221
_symmetry_space_group_name_Hall '-P 4 2 3'
loop_
_atom_site_label
_atom_site_type_symbol
_atom_site_fract_x
_atom_site_fract_y
_atom_site_fract_z
_atom_site_occupancy
Tc1 Tc 0.0000 0.0000 0.5000 1
Sb1 Sb 0.5000 0.5000 0.5000 1
H1 H 0.0000 0.0000 0.0000 1



Arrangement 2

# Tc3SbH (GGA-PBE, relaxed)
# Crystal system ... cubic
data_Tc3SbH
_chemical_formula_sum 'Tc3 Sb1 H1'
_cell_length_a 5.0015
_cell_length_b 5.0015
_cell_length_c 5.0015
_cell_angle_alpha 90.00
_cell_angle_beta 90.00
_cell_angle_gamma 90.00
_symmetry_space_group_name_H-M 'P m -3 m'
_symmetry_Int_Tables_number 221
_symmetry_space_group_name_Hall '-P 4 2 3'
loop_
_atom_site_label
_atom_site_type_symbol
_atom_site_fract_x
_atom_site_fract_y
_atom_site_fract_z
_atom_site_occupancy
Tc1 Tc 0.0000 0.0000 0.5000 1
Sb1 Sb 0.0000 0.0000 0.0000 1
H1 H 0.5000 0.5000 0.5000 1



Most stable: arrangement 1



Arrangement 1

# Sb3TeH (GGA-PBE, relaxed)
# Crystal system ... cubic
data_Sb3TeH
_chemical_formula_sum 'Sb3 Te1 H1'
_cell_length_a 5.8260
_cell_length_b 5.8260
_cell_length_c 5.8260
_cell_angle_alpha 90.00
_cell_angle_beta 90.00
_cell_angle_gamma 90.00
_symmetry_space_group_name_H-M 'P m -3 m'
_symmetry_Int_Tables_number 221
_symmetry_space_group_name_Hall '-P 4 2 3'
loop_
_atom_site_label
_atom_site_type_symbol
_atom_site_fract_x
_atom_site_fract_y
_atom_site_fract_z
_atom_site_occupancy
Sb1 Sb 0.0000 0.0000 0.5000 1
Te1 Te 0.0000 0.0000 0.0000 1
H1 H 0.5000 0.5000 0.5000 1



Arrangement 2

# Sb3TeH (GGA-PBE, relaxed)
# Crystal system ... cubic
data_Sb3TeH
_chemical_formula_sum 'Sb3 Te1 H1'
_cell_length_a 4.8370
_cell_length_b 4.8370
_cell_length_c 4.8370
_cell_angle_alpha 90.00
_cell_angle_beta 90.00
_cell_angle_gamma 90.00
_symmetry_space_group_name_H-M 'P m -3 m'
_symmetry_Int_Tables_number 221
_symmetry_space_group_name_Hall '-P 4 2 3'
loop_
_atom_site_label
_atom_site_type_symbol
_atom_site_fract_x
_atom_site_fract_y
_atom_site_fract_z
_atom_site_occupancy
Sb1 Sb 0.0000 0.0000 0.5000 1
Te1 Te 0.5000 0.5000 0.5000 1
H1 H 0.0000 0.0000 0.0000 1



Most stable: arrangement 2



Arrangement 1

# SbTeH2 (GGA-PBE, relaxed)
# Crystal system ... tetragonal
data_SbTeH2
_chemical_formula_sum 'Sb4 Te4 H8'
_cell_length_a 4.6681
_cell_length_b 4.6681
_cell_length_c 12.5814
_cell_angle_alpha 90.00
_cell_angle_beta 90.00
_cell_angle_gamma 90.00
_symmetry_space_group_name_H-M 'I -4 2 d'
_symmetry_Int_Tables_number 122
_symmetry_space_group_name_Hall 'I -4 2bw'
loop_
_atom_site_label
_atom_site_type_symbol
_atom_site_fract_x
_atom_site_fract_y
_atom_site_fract_z
_atom_site_occupancy
Sb1 Sb 0.0000 0.0000 0.0000 1
Te1 Te 0.0000 0.0000 0.5000 1
H1 H 0.0132 0.7500 0.1250 1



Arrangement 2

# SbTeH2 (GGA-PBE, relaxed)
# Crystal system ... cubic
data_SbTeH2
_chemical_formula_sum 'Sb4 Te4 H8'
_cell_length_a 6.2330
_cell_length_b 6.2330
_cell_length_c 6.2330
_cell_angle_alpha 90.00
_cell_angle_beta 90.00
_cell_angle_gamma 90.00
_symmetry_space_group_name_H-M 'F m -3 m'
_symmetry_Int_Tables_number 225
_symmetry_space_group_name_Hall '-F 4 2 3'
loop_
_atom_site_label
_atom_site_type_symbol
_atom_site_fract_x
_atom_site_fract_y
_atom_site_fract_z
_atom_site_occupancy
Sb1 Sb 0.0000 0.0000 0.0000 1
Te1 Te 0.0000 0.0000 0.5000 1
H1 H 0.2500 0.2500 0.2500 1



Most stable: arrangement 1